VASP calculation (GGA-PBE) on Rb3HoF7 after structural relaxation.

a = 9.418 Å, b = 9.784 Å, c = 6.612 Å
α = 90.00°, β = 131.04°, γ = 90.00°
Space group Cm (No. 8)
One atom of each set of equivalent atoms:
1 Rb 0.000 0.000 0.000 (multiplicity 2)
2 Rb 0.034 0.269 0.527 (multiplicity 4)
3 Ho 0.478 0.000 0.972 (multiplicity 2)
4 F 0.144 0.500 0.853 (multiplicity 2)
5 F 0.202 0.000 0.564 (multiplicity 2)
6 F 0.232 0.396 0.376 (multiplicity 4)
7 F 0.351 0.000 0.152 (multiplicity 2)
8 F 0.435 0.222 0.900 (multiplicity 4)

Properties
* formation energy without anion corrections: -3.03 eV/atom
* spin magnetization: 2.5 μB per cell
* crystal system: monoclinic